# CsRhO2 | Alexandria | PBE | optimized geometry
data_CsRhO2
_space_group_name_H-M_alt 'F m -3 m'
_space_group_IT_number 225
_space_group_name_Hall '-F 4 2 3'
_cell_length_a 6.330
_cell_length_b 6.330
_cell_length_c 6.330
_cell_angle_alpha 90.00
_cell_angle_beta 90.00
_cell_angle_gamma 90.00
loop_
_atom_site_label
_atom_site_fract_x
_atom_site_fract_y
_atom_site_fract_z
Cs1 0.000 0.000 0.000
Rh1 0.000 0.000 0.500
O1 0.250 0.250 0.250
# Uncorrected formation energy, eV per atom: 0.58
# Calculated volume, Å³/atom: 15.85
# Spin magnetization, Bohr magnetons per cell: 7.91

=====

# CsRu2RhO8 | Alexandria | PBE | optimized geometry
data_CsRu2RhO8
_space_group_name_H-M_alt 'P -3'
_space_group_IT_number 147
_cell_length_a 5.1817
_cell_length_b 5.1817
_cell_length_c 9.4816
_cell_angle_alpha 90.00
_cell_angle_beta 90.00
_cell_angle_gamma 120.00
loop_
_space_group_symop_operation_xyz
'x,y,z'
'-x,-y,-z'
'-y,x-y,z'
'y,-x+y,-z'
'-x+y,-x,z'
'x-y,x,-z'
loop_
_atom_site_label
_atom_site_fract_x
_atom_site_fract_y
_atom_site_fract_z
Cs1 0.0000 0.0000 0.0000
Ru1 0.3333 0.6667 0.6948
Rh1 0.0000 0.0000 0.5000
O1 0.0236 0.3317 0.6222
O2 0.3333 0.6667 0.8805
# Uncorrected formation energy, eV per atom: -0.91
# Calculated volume, Å³/atom: 18.37
# Spin magnetization, Bohr magnetons per cell: 0.00

=====

# CsRhS2O8 | Alexandria | PBE | optimized geometry
data_CsRhS2O8
_space_group_name_H-M_alt 'C 1 2/m 1'
_space_group_IT_number 12
_cell_length_a 8.234
_cell_length_b 5.258
_cell_length_c 8.795
_cell_angle_alpha 90.00
_cell_angle_beta 96.94
_cell_angle_gamma 90.00
loop_
_space_group_symop_operation_xyz
'x,y,z'
'-x,-y,-z'
'-x,y,-z'
'x,-y,z'
'x+1/2,y+1/2,z'
'-x+1/2,-y+1/2,-z'
'-x+1/2,y+1/2,-z'
'x+1/2,-y+1/2,z'
loop_
_atom_site_label
_atom_site_fract_x
_atom_site_fract_y
_atom_site_fract_z
Cs1 0.000 0.000 0.000
Rh1 0.000 0.000 0.500
S1 0.123 0.500 0.323
O1 0.015 0.267 0.330
O2 0.183 0.500 0.173
O3 0.249 0.500 0.459
# Uncorrected formation energy, eV per atom: -1.33
# Calculated volume, Å³/atom: 15.75
# Spin magnetization, Bohr magnetons per cell: 0.00

=====

# Cs2SbRhO | Alexandria | PBE | optimized geometry
data_Cs2SbRhO
_space_group_name_H-M_alt 'P 4/m m m'
_space_group_IT_number 123
_space_group_name_Hall '-P 4 2'
_cell_length_a 6.160
_cell_length_b 6.160
_cell_length_c 4.366
_cell_angle_alpha 90.00
_cell_angle_beta 90.00
_cell_angle_gamma 90.00
loop_
_atom_site_label
_atom_site_fract_x
_atom_site_fract_y
_atom_site_fract_z
Cs1 0.000 0.500 0.000
Sb1 0.000 0.000 0.500
Rh1 0.500 0.500 0.500
O1 0.000 0.000 0.000
# Uncorrected formation energy, eV per atom: 0.12
# Calculated volume, Å³/atom: 33.14
# Spin magnetization, Bohr magnetons per cell: 1.02

=====

# Cs2ScRhO4 | Alexandria | PBE | optimized geometry
data_Cs2ScRhO4
_space_group_name_H-M_alt 'F d d d'
_space_group_IT_number 70
_cell_length_a 5.673
_cell_length_b 12.712
_cell_length_c 22.113
_cell_angle_alpha 90.00
_cell_angle_beta 90.00
_cell_angle_gamma 90.00
loop_
_space_group_symop_operation_xyz
'x,y,z'
'-x,-y,-z'
'-x+1/4,-y+1/4,z'
'x+1/4,y+1/4,-z'
'x,-y+1/4,-z+1/4'
'-x,y+1/4,z+1/4'
'-x+1/4,y,-z+1/4'
'x+1/4,-y,z+1/4'
'x,y+1/2,z+1/2'
'-x,-y+1/2,-z+1/2'
'-x+1/4,-y+3/4,z+1/2'
'x+1/4,y+3/4,-z+1/2'
'x,-y+3/4,-z+3/4'
'-x,y+3/4,z+3/4'
'-x+1/4,y+1/2,-z+3/4'
'x+1/4,-y+1/2,z+3/4'
'x+1/2,y,z+1/2'
'-x+1/2,-y,-z+1/2'
'-x+3/4,-y+1/4,z+1/2'
'x+3/4,y+1/4,-z+1/2'
'x+1/2,-y+1/4,-z+3/4'
'-x+1/2,y+1/4,z+3/4'
'-x+3/4,y,-z+3/4'
'x+3/4,-y,z+3/4'
'x+1/2,y+1/2,z'
'-x+1/2,-y+1/2,-z'
'-x+3/4,-y+3/4,z'
'x+3/4,y+3/4,-z'
'x+1/2,-y+3/4,-z+1/4'
'-x+1/2,y+3/4,z+1/4'
'-x+3/4,y+1/2,-z+1/4'
'x+3/4,-y+1/2,z+1/4'
loop_
_atom_site_label
_atom_site_fract_x
_atom_site_fract_y
_atom_site_fract_z
Cs1 0.125 0.125 0.302
Sc1 0.125 0.125 0.125
Rh1 0.125 0.125 0.625
O1 0.120 0.292 0.417
# Uncorrected formation energy, eV per atom: -1.55
# Calculated volume, Å³/atom: 24.92
# Spin magnetization, Bohr magnetons per cell: 0.00

=====

# CsSc2RhO | Alexandria | PBE | optimized geometry
data_CsSc2RhO
_space_group_name_H-M_alt 'P 4/m m m'
_space_group_IT_number 123
_space_group_name_Hall '-P 4 2'
_cell_length_a 4.259
_cell_length_b 4.259
_cell_length_c 5.964
_cell_angle_alpha 90.00
_cell_angle_beta 90.00
_cell_angle_gamma 90.00
loop_
_atom_site_label
_atom_site_fract_x
_atom_site_fract_y
_atom_site_fract_z
Cs1 0.000 0.000 0.000
Sc1 0.000 0.500 0.500
Rh1 0.500 0.500 0.000
O1 0.500 0.500 0.500
# Uncorrected formation energy, eV per atom: -0.32
# Calculated volume, Å³/atom: 21.63
# Spin magnetization, Bohr magnetons per cell: 0.00

=====

# CsScRh2O | Alexandria | PBE | optimized geometry
data_CsScRh2O
_space_group_name_H-M_alt 'P 4/m m m'
_space_group_IT_number 123
_space_group_name_Hall '-P 4 2'
_cell_length_a 5.136
_cell_length_b 5.136
_cell_length_c 4.061
_cell_angle_alpha 90.00
_cell_angle_beta 90.00
_cell_angle_gamma 90.00
loop_
_atom_site_label
_atom_site_fract_x
_atom_site_fract_y
_atom_site_fract_z
Cs1 0.000 0.000 0.000
Sc1 0.500 0.500 0.500
Rh1 0.000 0.500 0.500
O1 0.500 0.500 0.000
# Uncorrected formation energy, eV per atom: 0.03
# Calculated volume, Å³/atom: 21.43
# Spin magnetization, Bohr magnetons per cell: 0.29

=====

# Cs2RhSe2O6 | Alexandria | PBE | optimized geometry
data_Cs2RhSe2O6
_space_group_name_H-M_alt 'C 1 2/m 1'
_space_group_IT_number 12
_cell_length_a 14.041
_cell_length_b 5.428
_cell_length_c 7.793
_cell_angle_alpha 90.00
_cell_angle_beta 120.99
_cell_angle_gamma 90.00
loop_
_space_group_symop_operation_xyz
'x,y,z'
'-x,-y,-z'
'-x,y,-z'
'x,-y,z'
'x+1/2,y+1/2,z'
'-x+1/2,-y+1/2,-z'
'-x+1/2,y+1/2,-z'
'x+1/2,-y+1/2,z'
loop_
_atom_site_label
_atom_site_fract_x
_atom_site_fract_y
_atom_site_fract_z
Cs1 0.208 0.000 0.234
Rh1 0.000 0.000 0.500
Se1 0.025 0.500 0.796
O1 0.076 0.248 0.724
O2 0.115 0.500 0.340
# Uncorrected formation energy, eV per atom: -1.04
# Calculated volume, Å³/atom: 23.14
# Spin magnetization, Bohr magnetons per cell: 2.01